No. 1
Mn7CrP12O48: optimized geometry, GGA+U.

Cell and atoms, written as POSCAR:
```
Mn7CrP12O48
1.0
8.282 0.000 0.000
-0.012 8.518 0.000
-0.157 -0.014 11.675
Mn Cr P O
7 1 12 48
Direct
0.000 0.000 0.000 Mn
0.001 0.500 0.267 Mn
0.496 0.498 0.998 Mn
0.501 0.059 0.767 Mn
0.501 0.559 0.500 Mn
0.504 0.999 0.270 Mn
0.998 0.060 0.496 Mn
0.005 0.559 0.766 Cr
0.140 0.144 0.239 P
0.146 0.411 0.530 P
0.217 0.276 0.892 P
0.287 0.781 0.877 P
0.358 0.645 0.236 P
0.361 0.915 0.528 P
0.638 0.416 0.740 P
0.644 0.145 0.031 P
0.716 0.282 0.390 P
0.786 0.778 0.376 P
0.858 0.916 0.735 P
0.860 0.645 0.028 P
0.028 0.087 0.336 O
0.028 0.500 0.610 O
0.064 0.201 0.943 O
0.088 0.311 0.202 O
0.112 0.459 0.406 O
0.121 0.031 0.137 O
0.133 0.232 0.546 O
0.160 0.401 0.805 O
0.180 0.711 0.779 O
0.181 0.912 0.491 O
0.182 0.605 0.200 O
0.190 0.904 0.944 O
0.311 0.154 0.823 O
0.317 0.349 0.993 O
0.320 0.146 0.277 O
0.320 0.456 0.566 O
0.341 0.659 0.967 O
0.372 0.825 0.217 O
0.382 0.030 0.629 O
0.390 0.604 0.361 O
0.414 0.749 0.566 O
0.437 0.857 0.824 O
0.472 0.970 0.430 O
0.475 0.550 0.160 O
0.526 0.050 0.107 O
0.526 0.470 0.838 O
0.566 0.357 0.444 O
0.590 0.248 0.701 O
0.612 0.103 0.906 O
0.620 0.530 0.638 O
0.630 0.325 0.050 O
0.659 0.160 0.300 O
0.679 0.646 0.993 O
0.681 0.953 0.700 O
0.685 0.852 0.277 O
0.692 0.654 0.444 O
0.810 0.405 0.322 O
0.817 0.208 0.490 O
0.817 0.420 0.779 O
0.819 0.104 0.067 O
0.842 0.898 0.467 O
0.878 0.738 0.712 O
0.883 0.527 0.127 O
0.888 0.952 0.861 O
0.914 0.810 0.068 O
0.935 0.702 0.322 O
0.967 0.598 0.927 O
0.973 0.014 0.660 O
```

## Properties
**Calculated total energy**: -0.2596 hartree per atom
**ρ**: 3.18 g cm⁻³
**Total magnetic moment**: 18.6 μB per formula unit
**Calculated volume**: 12.11 Å³ per atom

---

No. 2
Mn3CrP4O16: optimized geometry, GGA+U.

Cell and atoms, written as POSCAR:
```
Mn3CrP4O16
1.0
4.866 0.000 0.000
0.000 5.968 0.000
-0.150 0.000 9.847
Mn Cr P O
3 1 4 16
Direct
0.000 0.000 0.000 Mn
0.155 0.500 0.434 Mn
0.658 0.000 0.505 Mn
0.527 0.500 0.942 Cr
0.172 0.000 0.316 P
0.474 0.000 0.815 P
0.683 0.500 0.622 P
0.977 0.500 0.123 P
0.219 0.000 0.162 O
0.284 0.500 0.100 O
0.322 0.202 0.385 O
0.322 0.798 0.385 O
0.333 0.205 0.886 O
0.333 0.795 0.886 O
0.369 0.500 0.597 O
0.424 0.000 0.661 O
0.740 0.500 0.775 O
0.790 0.000 0.838 O
0.819 0.301 0.049 O
0.819 0.699 0.049 O
0.827 0.298 0.551 O
0.827 0.702 0.551 O
0.860 0.000 0.340 O
0.917 0.500 0.275 O
```

## Properties
**Calculated total energy**: -0.2739 hartree per atom
**ρ**: 3.46 g cm⁻³
**Total magnetic moment**: 15.0 μB per formula unit
**Calculated volume**: 11.92 Å³ per atom

---

No. 3
MnCr3P4O16: optimized geometry, GGA+U.

Cell and atoms, written as POSCAR:
```
MnCr3P4O16
1.0
4.805 0.000 0.000
0.000 5.805 0.000
-0.143 0.000 9.870
Mn Cr P O
1 3 4 16
Direct
0.000 0.000 0.000 Mn
0.122 0.500 0.452 Cr
0.520 0.500 0.948 Cr
0.623 0.000 0.494 Cr
0.175 0.000 0.313 P
0.463 0.000 0.814 P
0.686 0.500 0.632 P
0.963 0.500 0.131 P
0.235 0.000 0.161 O
0.273 0.500 0.106 O
0.320 0.209 0.886 O
0.320 0.791 0.886 O
0.331 0.206 0.389 O
0.331 0.794 0.389 O
0.372 0.500 0.608 O
0.410 0.000 0.662 O
0.755 0.500 0.783 O
0.782 0.000 0.839 O
0.804 0.296 0.056 O
0.804 0.704 0.056 O
0.836 0.294 0.555 O
0.836 0.706 0.555 O
0.863 0.000 0.335 O
0.900 0.500 0.282 O
```

## Properties
**Calculated total energy**: -0.2765 hartree per atom
**ρ**: 3.56 g cm⁻³
**Total magnetic moment**: 13.0 μB per formula unit
**Calculated volume**: 11.47 Å³ per atom

---

No. 4
MnCrPO2: optimized geometry, GGA+U.

Cell and atoms, written as POSCAR:
```
MnCrPO2
1.0
3.680 0.000 0.000
0.000 3.680 0.000
0.000 0.000 5.222
Mn Cr P O
1 1 1 2
Direct
0.000 0.000 0.000 Mn
0.500 0.500 0.500 Cr
0.500 0.500 0.000 P
0.000 0.500 0.500 O
0.500 0.000 0.500 O
```

## Properties
**Distance to the lowest polymorph of the same formula**: 0 meV per atom
**Calculated total energy**: -0.2455 hartree per atom
**ρ**: 3.99 g cm⁻³
**Total magnetic moment**: 6.0 μB per formula unit
**Calculated volume**: 14.14 Å³ per atom

---

No. 5
MnCrPO2: optimized geometry, GGA+U.

Cell and atoms, written as POSCAR:
```
MnCrPO2
1.0
3.693 0.000 0.000
0.000 3.693 0.000
0.000 0.000 5.151
Mn Cr P O
1 1 1 2
Direct
0.000 0.000 0.000 Mn
0.500 0.500 0.500 Cr
0.000 0.000 0.500 P
0.000 0.500 0.000 O
0.500 0.000 0.000 O
```

## Properties
**Distance to the lowest polymorph of the same formula**: 239 meV per atom
**Calculated total energy**: -0.2367 hartree per atom
**ρ**: 4.02 g cm⁻³
**Total magnetic moment**: 6.0 μB per formula unit
**Calculated volume**: 14.05 Å³ per atom

---

No. 6
MnCrP2O8: optimized geometry, GGA+U.

Cell and atoms, written as POSCAR:
```
MnCrP2O8
1.0
5.173 0.000 0.000
-2.587 4.480 0.000
0.000 0.000 5.598
Mn Cr P O
1 1 2 8
Direct
0.000 0.000 0.000 Mn
0.000 0.000 0.500 Cr
0.333 0.667 0.165 P
0.667 0.333 0.835 P
0.166 0.332 0.259 O
0.166 0.834 0.259 O
0.332 0.166 0.741 O
0.333 0.667 0.901 O
0.667 0.333 0.099 O
0.668 0.834 0.259 O
0.834 0.166 0.741 O
0.834 0.668 0.741 O
```

## Properties
**Distance to the lowest polymorph of the same formula**: 308 meV per atom
**Calculated total energy**: -0.2639 hartree per atom
**ρ**: 3.80 g cm⁻³
**Total magnetic moment**: 4.9 μB per formula unit
**Calculated volume**: 10.81 Å³ per atom

---

No. 7
MnCr3P6O24: optimized geometry, GGA+U.

Cell and atoms, written as POSCAR:
```
MnCr3P6O24
1.0
4.172 2.409 7.295
-4.172 2.409 7.295
0.000 -4.817 7.295
Mn Cr P O
1 3 6 24
Direct
0.000 0.000 0.000 Mn
0.214 0.214 0.214 Cr
0.494 0.494 0.494 Cr
0.708 0.708 0.708 Cr
0.104 0.383 0.820 P
0.320 0.888 0.605 P
0.383 0.820 0.104 P
0.605 0.320 0.888 P
0.820 0.104 0.383 P
0.888 0.605 0.320 P
0.090 0.458 0.247 O
0.129 0.187 0.834 O
0.155 0.358 0.978 O
0.168 0.866 0.812 O
0.187 0.834 0.129 O
0.247 0.090 0.458 O
0.250 0.457 0.619 O
0.349 0.731 0.550 O
0.358 0.978 0.155 O
0.457 0.619 0.250 O
0.458 0.247 0.090 O
0.519 0.867 0.580 O
0.534 0.838 0.896 O
0.550 0.349 0.731 O
0.580 0.519 0.867 O
0.619 0.250 0.457 O
0.731 0.550 0.349 O
0.812 0.168 0.866 O
0.834 0.129 0.187 O
0.838 0.896 0.534 O
0.866 0.812 0.168 O
0.867 0.580 0.519 O
0.896 0.534 0.838 O
0.978 0.155 0.358 O
```

## Properties
**Calculated total energy**: -0.2624 hartree per atom
**ρ**: 2.95 g cm⁻³
**Total magnetic moment**: 6.9 μB per formula unit
**Calculated volume**: 12.94 Å³ per atom

---

No. 8
MnCrP2O8: optimized geometry, GGA+U.

Cell and atoms, written as POSCAR:
```
MnCrP2O8
1.0
4.833 0.000 0.000
0.000 5.876 0.000
-0.289 0.000 9.842
Mn Cr P O
2 2 4 16
Direct
0.074 0.250 0.222 Mn
0.926 0.750 0.778 Mn
0.447 0.250 0.724 Cr
0.553 0.750 0.276 Cr
0.102 0.750 0.093 P
0.387 0.750 0.593 P
0.613 0.250 0.407 P
0.898 0.250 0.907 P
0.158 0.750 0.941 O
0.207 0.250 0.884 O
0.247 0.543 0.665 O
0.247 0.957 0.665 O
0.263 0.548 0.167 O
0.263 0.952 0.167 O
0.295 0.250 0.383 O
0.330 0.750 0.440 O
0.670 0.250 0.560 O
0.705 0.750 0.617 O
0.737 0.048 0.833 O
0.737 0.452 0.833 O
0.753 0.043 0.335 O
0.753 0.457 0.335 O
0.793 0.750 0.116 O
0.842 0.250 0.059 O
```

## Properties
**Distance to the lowest polymorph of the same formula**: 0 meV per atom
**Calculated total energy**: -0.2752 hartree per atom
**ρ**: 3.53 g cm⁻³
**Total magnetic moment**: 7.0 μB per formula unit
**Calculated volume**: 11.65 Å³ per atom

---

No. 9
Mn3CrSn2P6O24: optimized geometry, GGA+U.

Cell and atoms, written as POSCAR:
```
Mn3CrSn2P6O24
1.0
4.395 2.537 6.929
-4.395 2.537 6.929
0.000 -5.074 6.929
Mn Cr Sn P O
3 1 2 6 24
Direct
0.000 0.000 0.000 Mn
0.195 0.195 0.195 Mn
0.696 0.696 0.696 Mn
0.493 0.493 0.493 Cr
0.345 0.345 0.345 Sn
0.848 0.848 0.848 Sn
0.098 0.403 0.791 P
0.299 0.893 0.597 P
0.403 0.791 0.098 P
0.597 0.299 0.893 P
0.791 0.098 0.403 P
0.893 0.597 0.299 P
0.032 0.256 0.818 O
0.096 0.442 0.281 O
0.096 0.910 0.745 O
0.167 0.366 0.942 O
0.256 0.425 0.588 O
0.256 0.818 0.032 O
0.281 0.096 0.442 O
0.349 0.742 0.522 O
0.366 0.942 0.167 O
0.425 0.588 0.256 O
0.442 0.281 0.096 O
0.442 0.862 0.673 O
0.522 0.349 0.742 O
0.588 0.256 0.425 O
0.607 0.769 0.948 O
0.673 0.442 0.862 O
0.742 0.522 0.349 O
0.745 0.096 0.910 O
0.769 0.948 0.607 O
0.818 0.032 0.256 O
0.862 0.673 0.442 O
0.910 0.745 0.096 O
0.942 0.167 0.366 O
0.948 0.607 0.769 O
```

## Properties
**Calculated total energy**: -0.2651 hartree per atom
**ρ**: 3.67 g cm⁻³
**Total magnetic moment**: 17.0 μB per formula unit
**Calculated volume**: 12.88 Å³ per atom

---

No. 10
Mn3CrTe2P6O24: optimized geometry, GGA+U.

Cell and atoms, written as POSCAR:
```
Mn3CrTe2P6O24
1.0
4.410 2.546 7.188
-4.410 2.546 7.188
0.000 -5.092 7.188
Mn Cr Te P O
3 1 2 6 24
Direct
0.000 0.000 0.000 Mn
0.190 0.190 0.190 Mn
0.494 0.494 0.494 Mn
0.697 0.697 0.697 Cr
0.346 0.346 0.346 Te
0.854 0.854 0.854 Te
0.088 0.787 0.395 P
0.301 0.592 0.884 P
0.395 0.088 0.787 P
0.592 0.884 0.301 P
0.787 0.395 0.088 P
0.884 0.301 0.592 P
0.036 0.816 0.240 O
0.083 0.277 0.444 O
0.098 0.758 0.902 O
0.151 0.935 0.364 O
0.240 0.036 0.816 O
0.251 0.588 0.416 O
0.277 0.444 0.083 O
0.325 0.526 0.742 O
0.364 0.151 0.935 O
0.416 0.251 0.588 O
0.444 0.083 0.277 O
0.447 0.667 0.835 O
0.526 0.742 0.325 O
0.588 0.416 0.251 O
0.590 0.931 0.761 O
0.667 0.835 0.447 O
0.742 0.325 0.526 O
0.758 0.902 0.098 O
0.761 0.590 0.931 O
0.816 0.240 0.036 O
0.835 0.447 0.667 O
0.902 0.098 0.758 O
0.931 0.761 0.590 O
0.935 0.364 0.151 O
```

## Properties
**Calculated total energy**: -0.2595 hartree per atom
**ρ**: 3.57 g cm⁻³
**Total magnetic moment**: 17.0 μB per formula unit
**Calculated volume**: 13.45 Å³ per atom

---

No. 11
Ti3MnCr2P6O24: optimized geometry, GGA+U.

Cell and atoms, written as POSCAR:
```
Ti3MnCr2P6O24
1.0
4.357 2.515 6.877
-4.357 2.515 6.877
0.000 -5.030 6.877
Ti Mn Cr P O
3 1 2 6 24
Direct
0.000 0.000 0.000 Ti
0.213 0.213 0.213 Ti
0.501 0.501 0.501 Ti
0.711 0.711 0.711 Mn
0.355 0.355 0.355 Cr
0.854 0.854 0.854 Cr
0.112 0.811 0.396 P
0.308 0.610 0.905 P
0.396 0.112 0.811 P
0.610 0.905 0.308 P
0.811 0.396 0.112 P
0.905 0.308 0.610 P
0.045 0.854 0.236 O
0.101 0.284 0.448 O
0.109 0.765 0.915 O
0.196 0.965 0.334 O
0.236 0.045 0.854 O
0.270 0.613 0.409 O
0.284 0.448 0.101 O
0.334 0.196 0.965 O
0.361 0.544 0.738 O
0.409 0.270 0.613 O
0.448 0.101 0.284 O
0.453 0.677 0.880 O
0.544 0.738 0.361 O
0.588 0.959 0.809 O
0.613 0.409 0.270 O
0.677 0.880 0.453 O
0.738 0.361 0.544 O
0.765 0.915 0.109 O
0.809 0.588 0.959 O
0.854 0.236 0.045 O
0.880 0.453 0.677 O
0.915 0.109 0.765 O
0.959 0.809 0.588 O
0.965 0.334 0.196 O
```

## Properties
**Calculated total energy**: -0.2867 hartree per atom
**ρ**: 3.20 g cm⁻³
**Total magnetic moment**: 11.0 μB per formula unit
**Calculated volume**: 12.56 Å³ per atom

---

No. 12
TiMnCrP3O12: optimized geometry, GGA+U.

Cell and atoms, written as POSCAR:
```
TiMnCrP3O12
1.0
4.310 2.488 7.068
-4.310 2.488 7.068
0.000 -4.976 7.068
Ti Mn Cr P O
2 2 2 6 24
Direct
0.000 0.000 0.000 Ti
0.500 0.500 0.500 Ti
0.354 0.354 0.354 Mn
0.854 0.854 0.854 Mn
0.212 0.212 0.212 Cr
0.712 0.712 0.712 Cr
0.106 0.397 0.814 P
0.314 0.897 0.606 P
0.397 0.814 0.106 P
0.606 0.314 0.897 P
0.814 0.106 0.397 P
0.897 0.606 0.314 P
0.046 0.233 0.857 O
0.091 0.442 0.293 O
0.118 0.910 0.771 O
0.166 0.360 0.969 O
0.233 0.857 0.046 O
0.271 0.410 0.618 O
0.293 0.091 0.442 O
0.357 0.733 0.546 O
0.360 0.969 0.166 O
0.410 0.618 0.271 O
0.442 0.293 0.091 O
0.469 0.860 0.666 O
0.546 0.357 0.733 O
0.591 0.793 0.942 O
0.618 0.271 0.410 O
0.666 0.469 0.860 O
0.733 0.546 0.357 O
0.771 0.118 0.910 O
0.793 0.942 0.591 O
0.857 0.046 0.233 O
0.860 0.666 0.469 O
0.910 0.771 0.118 O
0.942 0.591 0.793 O
0.969 0.166 0.360 O
```

## Properties
**Calculated total energy**: -0.2866 hartree per atom
**ρ**: 3.21 g cm⁻³
**Total magnetic moment**: 8.0 μB per formula unit
**Calculated volume**: 12.63 Å³ per atom

---

What is the calculated total energy in the first record?
-0.2596 hartree per atom

---

Among the records above, which one has the lowest ρ?
MnCr3P6O24